No. 1
Entry from Alexandria: a geometry-optimized Pm5Sb4Pb structure (PBE).

DOS at the Fermi energy: 0.41 states/eV per atom
Energy above the lowest structure with this stoichiometry: 0 meV per atom
Energy relative to the elements, uncorrected: -10.28 eV per formula unit

a b c (Å): 4.504 4.504 31.809
angles (deg): 90.00 90.00 90.00
Space group I4/mmm (No. 139)
Symmetry-distinct sites (fractional):
1 Pm 0.000 0.000 0.000 x2
2 Pm 0.000 0.000 0.200 x4
3 Pm 0.000 0.000 0.398 x4
4 Sb 0.000 0.000 0.100 x4
5 Sb 0.000 0.000 0.300 x4
6 Pb 0.000 0.000 0.500 x2


No. 2
Entry from Alexandria: a geometry-optimized BPIO2 structure (PBE).

DOS at the Fermi energy: 0.25 states/eV per atom
Energy above the lowest structure with this stoichiometry: 0 meV per atom
Energy relative to the elements, uncorrected: 1.29 eV per formula unit

a b c (Å): 3.432 3.432 7.442
angles (deg): 90.00 90.00 90.00
Space group P4/mmm (No. 123)
Symmetry-distinct sites (fractional):
1 B 0.000 0.000 0.000 x1
2 P 0.500 0.500 0.500 x1
3 I 0.500 0.500 0.000 x1
4 O 0.000 0.500 0.500 x2


No. 3
Entry from Alexandria: a geometry-optimized CePr3Th2P6 structure (PBE).

DOS at the Fermi energy: 0.68 states/eV per atom
DFT formation energy: -149.7 kJ/mol of atoms

a b c (Å): 7.217 12.502 7.214
angles (deg): 90.00 109.47 90.00
Space group C2/m (No. 12)
Symmetry-distinct sites (fractional):
1 Ce 0.000 0.000 0.000 x2
2 Pr 0.000 0.166 0.500 x4
3 Pr 0.000 0.500 0.500 x2
4 Th 0.000 0.333 0.000 x4
5 P 0.247 0.166 0.242 x8
6 P 0.248 0.500 0.242 x4


No. 4
Entry from Alexandria: a geometry-optimized InO structure (PBE).

DOS at the Fermi energy: 0.52 states/eV per atom
Energy relative to the elements, uncorrected: -1.99 eV per formula unit

a b c (Å): 8.4282 8.4282 3.7262
angles (deg): 90.00 90.00 120.00
Space group P6_3/m (No. 176)
Symmetry-distinct sites (fractional):
1 In 0.0598 0.6967 0.2500 x6
2 O 0.0936 0.4488 0.2500 x6


No. 5
Entry from Alexandria: a geometry-optimized SrZr2In structure (PBE).

DOS at the Fermi energy: 1.08 states/eV per atom
DFT formation energy: 21.5 kJ/mol of atoms

a b c (Å): 4.638 4.638 9.666
angles (deg): 90.00 90.00 90.00
Space group I4/mmm (No. 139)
Symmetry-distinct sites (fractional):
1 Sr 0.000 0.000 0.000 x2
2 Zr 0.000 0.500 0.250 x4
3 In 0.000 0.000 0.500 x2


No. 6
Entry from Alexandria: a geometry-optimized MgTaAl2 structure (PBE).

DOS at the Fermi energy: 0.62 states/eV per atom
DFT formation energy: 3.7 kJ/mol of atoms

a b c (Å): 2.850 2.850 8.846
angles (deg): 90.00 90.00 90.00
Space group P4mm (No. 99)
Symmetry-distinct sites (fractional):
1 Mg 0.000 0.000 0.000 x1
2 Ta 0.500 0.500 0.266 x1
3 Al 0.000 0.000 0.494 x1
4 Al 0.500 0.500 0.732 x1


No. 7
Entry from Alexandria: a geometry-optimized CdP3 structure (PBE).

DOS at the Fermi energy: 0.23 states/eV per atom
DFT formation energy: 29.7 kJ/mol of atoms
Energy above the lowest structure with this stoichiometry: 341 meV per atom

a b c (Å): 3.012 7.084 7.476
angles (deg): 90.00 90.00 90.00
Space group Imm2 (No. 44)
Symmetry-distinct sites (fractional):
1 Cd 0.000 0.000 0.000 x2
2 P 0.000 0.196 0.331 x4
3 P 0.000 0.500 0.978 x2


No. 8
Entry from Alexandria: a geometry-optimized BaNaThTe3 structure (PBE).

DOS at the Fermi energy: 0.45 states/eV per atom
Energy relative to the elements, uncorrected: -7.28 eV per formula unit

a b c (Å): 9.550 4.637 10.334
angles (deg): 90.00 106.63 90.00
Space group P2_1/m (No. 11)
Symmetry-distinct sites (fractional):
1 Ba 0.199 0.250 0.244 x2
2 Na 0.087 0.250 0.590 x2
3 Th 0.342 0.750 0.856 x2
4 Te 0.112 0.250 0.882 x2
5 Te 0.253 0.750 0.528 x2
6 Te 0.443 0.750 0.177 x2


No. 9
Entry from Alexandria: a geometry-optimized Ni4Rh3 structure (PBE).

DOS at the Fermi energy: 1.62 states/eV per atom
DFT formation energy: 5.0 kJ/mol of atoms
Energy above the lowest structure with this stoichiometry: 10 meV per atom

a b c (Å): 2.648 2.648 24.974
angles (deg): 90.00 90.00 90.00
Space group I4/mmm (No. 139)
Symmetry-distinct sites (fractional):
1 Ni 0.000 0.000 0.072 x4
2 Ni 0.000 0.000 0.362 x4
3 Rh 0.000 0.000 0.211 x4
4 Rh 0.000 0.000 0.500 x2


No. 10
Entry from Alexandria: a geometry-optimized HoPuB structure (PBE).

DOS at the Fermi energy: 2.39 states/eV per atom
DFT formation energy: 15.9 kJ/mol of atoms

a b c (Å): 3.371 3.685 10.875
angles (deg): 90.00 90.00 90.00
Space group Pmmm (No. 47)
Symmetry-distinct sites (fractional):
1 Ho 0.000 0.000 0.000 x1
2 Ho 0.500 0.000 0.500 x1
3 Pu 0.000 0.500 0.265 x2
4 B 0.500 0.500 0.075 x2


No. 11
Entry from Alexandria: a geometry-optimized YErAlAg structure (PBE).

DOS at the Fermi energy: 0.62 states/eV per atom
DFT formation energy: -36.2 kJ/mol of atoms
Energy above the lowest structure with this stoichiometry: 0 meV per atom

a b c (Å): 3.544 3.544 7.517
angles (deg): 90.00 90.00 90.00
Space group P4mm (No. 99)
Symmetry-distinct sites (fractional):
1 Y 0.000 0.000 0.000 x1
2 Er 0.000 0.000 0.501 x1
3 Al 0.500 0.500 0.253 x1
4 Ag 0.500 0.500 0.741 x1


No. 12
Entry from Alexandria: a geometry-optimized LaMgMo2 structure (PBE).

DOS at the Fermi energy: 1.06 states/eV per atom
DFT formation energy: 66.1 kJ/mol of atoms

a b c (Å): 3.472 4.897 9.290
angles (deg): 90.00 90.00 90.00
Space group Immm (No. 71)
Symmetry-distinct sites (fractional):
1 La 0.000 0.000 0.000 x2
2 Mg 0.000 0.000 0.500 x2
3 Mo 0.000 0.500 0.258 x4


No. 13
Entry from Alexandria: a geometry-optimized Th2TeP2 structure (PBE).

DOS at the Fermi energy: 0.71 states/eV per atom
Energy relative to the elements, uncorrected: -5.22 eV per formula unit

a b c (Å): 7.538 5.103 7.429
angles (deg): 90.00 104.54 90.00
Space group C2/m (No. 12)
Symmetry-distinct sites (fractional):
1 Th 0.195 0.000 0.260 x4
2 Te 0.000 0.500 0.000 x2
3 P 0.000 0.242 0.500 x4


No. 14
Entry from Alexandria: a geometry-optimized AcTb2Y5 structure (PBE).

DOS at the Fermi energy: 1.53 states/eV per atom
DFT formation energy: 1.5 kJ/mol of atoms
Energy above the lowest structure with this stoichiometry: 0 meV per atom

a b c (Å): 11.721 12.543 7.275
angles (deg): 90.00 90.00 90.00
Space group Pbam (No. 55)
Symmetry-distinct sites (fractional):
1 Ac 0.000 0.249 0.000 x4
2 Tb 0.000 0.000 0.256 x4
3 Tb 0.000 0.250 0.500 x4
4 Y 0.000 0.500 0.255 x4
5 Y 0.249 0.080 0.000 x4
6 Y 0.249 0.083 0.500 x4
7 Y 0.250 0.333 0.255 x8


No. 15
Entry from Alexandria: a geometry-optimized Pm2GaRu structure (PBE).

DOS at the Fermi energy: 0.67 states/eV per atom
DFT formation energy: -32.0 kJ/mol of atoms

a b c (Å): 7.168 7.168 7.168
angles (deg): 90.00 90.00 90.00
Space group Fm-3m (No. 225)
Symmetry-distinct sites (fractional):
1 Pm 0.250 0.250 0.250 x8
2 Ga 0.000 0.000 0.000 x4
3 Ru 0.000 0.000 0.500 x4


No. 16
Entry from Alexandria: a geometry-optimized Pa3Si7Mo structure (PBE).

DOS at the Fermi energy: 0.93 states/eV per atom
Energy relative to the elements, uncorrected: -4.37 eV per formula unit

a b c (Å): 4.028 18.867 10.583
angles (deg): 90.00 90.00 90.00
Space group Cmcm (No. 63)
Symmetry-distinct sites (fractional):
1 Pa 0.000 0.111 0.055 x8
2 Pa 0.000 0.229 0.750 x4
3 Si 0.000 0.271 0.038 x8
4 Si 0.000 0.377 0.141 x8
5 Si 0.000 0.382 0.750 x4
6 Si 0.000 0.497 0.619 x8
7 Mo 0.000 0.054 0.750 x4


No. 17
Entry from Alexandria: a geometry-optimized CaCdBi structure (PBE).

DOS at the Fermi energy: 0.34 states/eV per atom
DFT formation energy: -37.8 kJ/mol of atoms
Energy above the lowest structure with this stoichiometry: 109 meV per atom

a b c (Å): 4.8483 4.8483 4.5062
angles (deg): 90.00 90.00 120.00
Space group P3m1 (No. 156)
Symmetry-distinct sites (fractional):
1 Ca 0.0000 0.0000 0.0000 x1
2 Cd 0.3333 0.6667 0.6479 x1
3 Bi 0.6667 0.3333 0.4075 x1


No. 18
Entry from Alexandria: a geometry-optimized Sr2NbSbO6 structure (PBE).

DOS at the Fermi energy: 0.00 states/eV per atom
Energy relative to the elements, uncorrected: -24.12 eV per formula unit

a b c (Å): 5.760 5.760 5.119
angles (deg): 90.00 90.00 90.00
Space group P4mm (No. 99)
Symmetry-distinct sites (fractional):
1 Sr 0.000 0.500 0.000 x2
2 Nb 0.000 0.000 0.579 x1
3 Sb 0.500 0.500 0.633 x1
4 O 0.000 0.000 0.214 x1
5 O 0.231 0.231 0.698 x4
6 O 0.500 0.500 0.022 x1


No. 19
Entry from Alexandria: a geometry-optimized Pr8Sm3Y3 structure (PBE).

DOS at the Fermi energy: 1.41 states/eV per atom
DFT formation energy: 9.7 kJ/mol of atoms

a b c (Å): 5.783 11.037 15.443
angles (deg): 90.00 90.00 90.00
Space group Immm (No. 71)
Symmetry-distinct sites (fractional):
1 Pr 0.000 0.158 0.224 x8
2 Pr 0.000 0.337 0.396 x8
3 Sm 0.000 0.000 0.500 x2
4 Sm 0.000 0.500 0.181 x4
5 Y 0.000 0.000 0.000 x2
6 Y 0.000 0.303 0.000 x4


No. 20
Entry from Alexandria: a geometry-optimized Pu2PaGe structure (PBE).

DOS at the Fermi energy: 2.36 states/eV per atom
DFT formation energy: -4.2 kJ/mol of atoms
Energy above the lowest structure with this stoichiometry: 206 meV per atom

a b c (Å): 7.099 7.099 7.099
angles (deg): 90.00 90.00 90.00
Space group Fm-3m (No. 225)
Symmetry-distinct sites (fractional):
1 Pu 0.250 0.250 0.250 x8
2 Pa 0.000 0.000 0.000 x4
3 Ge 0.000 0.000 0.500 x4


No. 21
Entry from Alexandria: a geometry-optimized Sc2FeSb6 structure (PBE).

DOS at the Fermi energy: 0.76 states/eV per atom
Energy relative to the elements, uncorrected: -2.69 eV per formula unit

a b c (Å): 7.8040 7.8040 3.8816
angles (deg): 90.00 90.00 120.00
Space group P-62m (No. 189)
Symmetry-distinct sites (fractional):
1 Sc 0.3333 0.6667 0.0000 x2
2 Fe 0.0000 0.0000 0.5000 x1
3 Sb 0.0000 0.3716 0.5000 x3
4 Sb 0.0000 0.7588 0.0000 x3


No. 22
Entry from Alexandria: a geometry-optimized Pm2Nd9Tl structure (PBE).

DOS at the Fermi energy: 1.35 states/eV per atom
DFT formation energy: -4.5 kJ/mol of atoms

a b c (Å): 5.089 5.089 15.653
angles (deg): 90.00 90.00 90.00
Space group P4/mmm (No. 123)
Symmetry-distinct sites (fractional):
1 Pm 0.000 0.000 0.169 x2
2 Nd 0.000 0.500 0.000 x2
3 Nd 0.000 0.500 0.339 x4
4 Nd 0.500 0.500 0.171 x2
5 Nd 0.500 0.500 0.500 x1
6 Tl 0.000 0.000 0.500 x1


No. 23
Entry from Alexandria: a geometry-optimized Cd2PCS structure (PBE).

DOS at the Fermi energy: 0.68 states/eV per atom
Energy relative to the elements, uncorrected: 7.73 eV per formula unit

a b c (Å): 5.165 5.165 4.446
angles (deg): 90.00 90.00 90.00
Space group P4/mmm (No. 123)
Symmetry-distinct sites (fractional):
1 Cd 0.000 0.500 0.000 x2
2 P 0.000 0.000 0.000 x1
3 C 0.500 0.500 0.500 x1
4 S 0.000 0.000 0.500 x1


No. 24
Entry from Alexandria: a geometry-optimized SiNiHN structure (PBE).

DOS at the Fermi energy: 0.10 states/eV per atom
Energy above the lowest structure with this stoichiometry: 64 meV per atom

a b c (Å): 2.739 2.881 4.959
angles (deg): 99.60 90.44 118.26
Space group P1 (No. 1)
Symmetry-distinct sites (fractional):
1 Si 0.000 0.000 0.000 x1
2 Ni 0.444 0.871 0.588 x1
3 H 0.756 0.497 0.552 x1
4 N 0.354 0.703 0.155 x1